[1]
K2RbMnF6 | GGA+U | relaxed

Calculated values
- Excess energy over the best structure of this formula in the dataset: 157 meV/atom
- Symmetry: Fm-3m (225)
- Energy: -4.628 eV/atom

Cell: 6.4007 6.4007 6.4007 Å, 60.00 60.00 60.00°
With the nearest neighbours (Å) after each atom.
Positions (direct):
Mn (0.0000, 0.0000, 0.0000)  6 F 1.91
F (0.7885, 0.2115, 0.7885)  1 Mn 1.91
F (0.7885, 0.7885, 0.2115)  1 Mn 1.91
F (0.2115, 0.2115, 0.7885)  1 Mn 1.91
F (0.2115, 0.7885, 0.7885)  1 Mn 1.91
F (0.2115, 0.7885, 0.2115)  1 Mn 1.91
K (0.7500, 0.7500, 0.7500)  12 F 3.22
F (0.7885, 0.2115, 0.2115)  1 Mn 1.91
K (0.2500, 0.2500, 0.2500)  12 F 3.22
Rb (0.5000, 0.5000, 0.5000)  6 F 2.61

=====

[2]
K2RbMnF8 | GGA+U | relaxed

Calculated values
- Symmetry: P-1 (2)
- Energy: -4.547 eV/atom

Cell: 5.6205 4.8890 7.7151 Å, 74.75 90.87 91.25°
With the nearest neighbours (Å) after each atom.
Positions (direct):
F (0.7611, 0.8288, 0.8962)  1 Mn 1.85
Rb (0.0000, 0.0000, 0.5000)  10 F 2.97-3.25
F (0.0002, 0.2986, 0.7924)  1 Mn 1.86
F (0.5042, 0.1959, 0.5015)  1 F 1.92
F (0.2389, 0.1712, 0.1038)  1 Mn 1.85
F (0.2308, 0.8332, 0.8958)  1 Mn 1.85
K (0.5027, 0.3858, 0.8008)  8 F 2.67-2.95
F (0.9998, 0.7014, 0.2076)  1 Mn 1.86
F (0.7692, 0.1668, 0.1042)  1 Mn 1.85
K (0.4973, 0.6142, 0.1992)  8 F 2.67-2.95
Mn (0.0000, 0.0000, 0.0000)  6 F 1.85-1.86
F (0.4958, 0.8041, 0.4985)  1 F 1.92

=====

[3]
KMnRuF6 | GGA+U | relaxed

Calculated values
- Symmetry: Imma (74)
- Energy: -5.453 eV/atom

Cell: 7.4949 7.5363 7.5771 Å, 119.82 119.64 90.00°
With the nearest neighbours (Å) after each atom.
Positions (direct):
Ru (0.5000, 0.0000, 0.0000)  6 F 2.01-2.02
F (0.1785, 0.3407, 0.7542)  1 Ru 2.01, 1 Mn 2.15
K (0.9059, 0.6559, 0.8117)  1 F 2.80
F (0.4243, 0.0865, 0.2458)  1 Ru 2.01, 1 Mn 2.15
K (0.0941, 0.3441, 0.1883)  1 F 2.80
Mn (0.5000, 0.0000, 0.5000)  6 F 2.09-2.15
F (0.8347, 0.0847, 0.6693)  2 Mn 2.09
F (0.8215, 0.6593, 0.2458)  1 Ru 2.01, 1 Mn 2.15
Mn (0.0000, 0.0000, 0.5000)  6 F 2.09-2.15
Ru (0.5000, 0.5000, 0.0000)  6 F 2.01-2.02
F (0.5757, 0.3407, 0.7542)  1 Ru 2.01, 1 Mn 2.15
F (0.5757, 0.9135, 0.7542)  1 Ru 2.01, 1 Mn 2.15
F (0.8215, 0.0865, 0.2458)  1 Ru 2.01, 1 Mn 2.15
F (0.4243, 0.6593, 0.2458)  1 Ru 2.01, 1 Mn 2.15
F (0.1785, 0.9135, 0.7542)  1 Ru 2.01, 1 Mn 2.15
F (0.4321, 0.6821, 0.8643)  2 Ru 2.02
F (0.1653, 0.9153, 0.3307)  2 Mn 2.09
F (0.5679, 0.3179, 0.1357)  2 Ru 2.02

=====

[4]
K2ScMnF6 | GGA+U | relaxed

Calculated values
- Symmetry: Immm (71)
- Energy: -5.651 eV/atom

Cell: 6.0002 6.1682 8.6689 Å, 90.00 90.00 90.00°
With the nearest neighbours (Å) after each atom.
Positions (direct):
F (0.7427, 0.5004, 0.5000)  1 Sc 2.12, 1 Mn 2.18
Sc (0.5000, 0.2499, 0.5000)  6 F 2.12-2.17
F (0.7573, 0.4996, 0.0000)  1 Sc 2.12, 1 Mn 2.18
F (0.0000, 0.7500, 0.2501)  1 Mn 2.17, 1 Sc 2.17
Mn (0.5000, 0.2501, 0.0000)  6 F 2.17-2.18
F (0.5000, 0.2500, 0.2499)  1 Mn 2.17, 1 Sc 2.17
Mn (0.0000, 0.7499, 0.5000)  6 F 2.17-2.18
F (0.2574, 0.9993, 0.5000)  1 Sc 2.12, 1 Mn 2.18
K (0.5000, 0.7499, 0.2496)  12 F 3.00-3.08
F (0.2426, 0.0007, 0.0000)  1 Sc 2.12, 1 Mn 2.18
F (0.2427, 0.4996, 0.0000)  1 Sc 2.12, 1 Mn 2.18
K (0.0000, 0.2501, 0.2504)  12 F 3.00-3.08
K (0.0000, 0.2501, 0.7496)  12 F 3.00-3.08
F (0.7426, 0.9993, 0.5000)  1 Sc 2.12, 1 Mn 2.18
Sc (0.0000, 0.7501, 0.0000)  6 F 2.12-2.17
F (0.0000, 0.7500, 0.7499)  1 Mn 2.17, 1 Sc 2.17
K (0.5000, 0.7499, 0.7504)  12 F 3.00-3.08
F (0.2573, 0.5004, 0.5000)  1 Sc 2.12, 1 Mn 2.18
F (0.5000, 0.2500, 0.7501)  1 Mn 2.17, 1 Sc 2.17
F (0.7574, 0.0007, 0.0000)  1 Sc 2.12, 1 Mn 2.18

=====

[5]
KMnSiF6 | GGA+U | relaxed

Calculated values
- Symmetry: P-31c (163)
- Energy: -5.473 eV/atom

Cell: 5.9440 5.9440 9.9966 Å, 90.00 90.00 120.00°
With the nearest neighbours (Å) after each atom.
Positions (direct):
F (0.9046, 0.5711, 0.3491)  1 Si 1.73
Si (0.6667, 0.3333, 0.2500)  6 F 1.73
F (0.4289, 0.3335, 0.3491)  1 Si 1.73
F (0.6665, 0.5711, 0.1509)  1 Si 1.73
F (0.0954, 0.6665, 0.8491)  1 Si 1.73
Mn (0.3333, 0.6667, 0.2500)  6 F 2.52
F (0.4289, 0.0954, 0.1509)  1 Si 1.73
K (0.0000, 0.0000, 0.0000)  6 F 2.77
Si (0.3333, 0.6667, 0.7500)  6 F 1.73
F (0.3335, 0.9046, 0.6509)  1 Si 1.73
F (0.6665, 0.0954, 0.3491)  1 Si 1.73
K (0.0000, 0.0000, 0.5000)  6 F 2.77
Mn (0.6667, 0.3333, 0.7500)  6 F 2.52
F (0.5711, 0.9046, 0.8491)  1 Si 1.73
F (0.9046, 0.3335, 0.1509)  1 Si 1.73
F (0.5711, 0.6665, 0.6509)  1 Si 1.73
F (0.3335, 0.4289, 0.8491)  1 Si 1.73
F (0.0954, 0.4289, 0.6509)  1 Si 1.73

=====

[6]
K3Mn2SnF9 | GGA+U | relaxed

Calculated values
- Symmetry: P-3m1 (164)
- Energy: -5.256 eV/atom

Cell: 6.1531 6.1531 7.8731 Å, 90.00 90.00 120.00°
With the nearest neighbours (Å) after each atom.
Positions (direct):
F (0.5000, 0.0000, 0.0000)  2 Mn 2.16
F (0.3407, 0.1704, 0.6914)  1 Mn 2.11, 1 Sn 2.36
F (0.6593, 0.8296, 0.3086)  1 Mn 2.11, 1 Sn 2.36
F (0.1704, 0.8296, 0.3086)  1 Mn 2.11, 1 Sn 2.36
F (0.8296, 0.6593, 0.6914)  1 Mn 2.11, 1 Sn 2.36
K (0.6667, 0.3333, 0.2949)  9 F 2.92-3.08
K (0.3333, 0.6667, 0.7051)  9 F 2.92-3.08
F (0.5000, 0.5000, 0.0000)  2 Mn 2.16
F (0.1704, 0.3407, 0.3086)  1 Mn 2.11, 1 Sn 2.36
Mn (0.3333, 0.6667, 0.1560)  6 F 2.11-2.16
F (0.8296, 0.1704, 0.6914)  1 Mn 2.11, 1 Sn 2.36
Mn (0.6667, 0.3333, 0.8440)  6 F 2.11-2.16
F (0.0000, 0.5000, 0.0000)  2 Mn 2.16
K (0.0000, 0.0000, 0.0000)  12 F 3.03-3.08
Sn (0.0000, 0.0000, 0.5000)  6 F 2.36

=====

[7]
KMnSn2F8 | GGA+U | relaxed

Calculated values
- Symmetry: P-1 (2)
- Energy: -5.085 eV/atom

Cell: 5.5262 5.3198 7.2624 Å, 94.76 86.67 88.50°
With the nearest neighbours (Å) after each atom.
Positions (direct):
F (0.0479, 0.7415, 0.1540)  1 Mn 1.87
F (0.6896, 0.6333, 0.5145)  1 Sn 2.15
F (0.9521, 0.2585, 0.8460)  1 Mn 1.87
Sn (0.5032, 0.5191, 0.7598)  3 F 2.12-2.28
F (0.7411, 0.8245, 0.8833)  1 Mn 1.93
F (0.2589, 0.1755, 0.1167)  1 Mn 1.93
F (0.3104, 0.3667, 0.4855)  1 Sn 2.15
F (0.2510, 0.8277, 0.7717)  1 Sn 2.12, 1 Mn 2.22
Mn (0.0000, 0.0000, 0.0000)  4 F 1.87-1.93
Sn (0.4968, 0.4809, 0.2402)  3 F 2.12-2.28
F (0.7490, 0.1723, 0.2283)  1 Sn 2.12, 1 Mn 2.22
K (0.0000, 0.0000, 0.5000)  6 F 2.64-2.76

=====

[8]
K2MnSnF6 | GGA+U | relaxed

Calculated values
- Symmetry: P-1 (2)
- Energy: -5.100 eV/atom

Cell: 6.3447 6.3423 6.2196 Å, 59.27 59.25 59.96°
With the nearest neighbours (Å) after each atom.
Positions (direct):
Mn (0.8161, 0.8161, 0.5516)  6 F 2.15
K (0.0587, 0.0596, 0.8238)  6 F 2.70-3.01
Sn (0.3161, 0.3161, 0.0516)  6 F 2.39
K (0.5736, 0.5728, 0.2793)  6 F 2.70-3.01
F (0.5037, 0.6562, 0.7989)  1 Mn 2.15, 1 Sn 2.39
F (0.6565, 0.0454, 0.7944)  1 Mn 2.15, 1 Sn 2.39
F (0.9757, 0.5868, 0.3087)  1 Mn 2.15, 1 Sn 2.39
F (0.0438, 0.5051, 0.7965)  1 Mn 2.15, 1 Sn 2.39
F (0.1285, 0.9762, 0.3041)  1 Mn 2.15, 1 Sn 2.39
F (0.5887, 0.1272, 0.3065)  1 Mn 2.15, 1 Sn 2.39

=====

[9]
KSrMnF6 | GGA+U | relaxed

Calculated values
- Symmetry: P-31c (163)
- Energy: -5.201 eV/atom

Cell: 6.0067 6.0067 10.0058 Å, 90.00 90.00 120.00°
With the nearest neighbours (Å) after each atom.
Positions (direct):
F (0.5973, 0.9369, 0.8569)  1 Mn 1.93
Mn (0.6667, 0.3333, 0.2500)  6 F 1.93
F (0.9369, 0.3396, 0.1431)  1 Mn 1.93
K (0.0000, 0.0000, 0.0000)  6 F 2.67
Mn (0.3333, 0.6667, 0.7500)  6 F 1.93
F (0.4027, 0.3396, 0.3569)  1 Mn 1.93
Sr (0.6667, 0.3333, 0.7500)  6 F 2.45
F (0.3396, 0.4027, 0.8569)  1 Mn 1.93
F (0.5973, 0.6604, 0.6431)  1 Mn 1.93
K (0.0000, 0.0000, 0.5000)  6 F 2.67
F (0.6604, 0.0631, 0.3569)  1 Mn 1.93
F (0.3396, 0.9369, 0.6431)  1 Mn 1.93
Sr (0.3333, 0.6667, 0.2500)  6 F 2.45
F (0.4027, 0.0631, 0.1431)  1 Mn 1.93
F (0.0631, 0.6604, 0.8569)  1 Mn 1.93
F (0.9369, 0.5973, 0.3569)  1 Mn 1.93
F (0.0631, 0.4027, 0.6431)  1 Mn 1.93
F (0.6604, 0.5973, 0.1431)  1 Mn 1.93

=====

[10]
K2SrMnF6 | GGA+U | relaxed

Calculated values
- Symmetry: P2_1/c (14)
- Energy: -5.351 eV/atom

Cell: 6.2142 6.3488 8.8371 Å, 90.00 90.37 90.00°
With the nearest neighbours (Å) after each atom.
Positions (direct):
F (0.1918, 0.2215, 0.0486)  1 Mn 2.17, 1 Sr 2.42
Sr (0.5000, 0.0000, 0.0000)  6 F 2.41-2.42
Mn (0.5000, 0.0000, 0.5000)  6 F 2.15-2.17
F (0.0873, 0.4683, 0.7656)  1 Mn 2.15
Mn (0.0000, 0.5000, 0.0000)  6 F 2.15-2.17
F (0.7225, 0.3055, 0.9557)  1 Mn 2.15
K (0.9887, 0.0428, 0.7503)  6 F 2.68-2.97
K (0.0113, 0.9572, 0.2497)  6 F 2.68-2.97
F (0.2225, 0.1945, 0.4557)  1 Mn 2.15
F (0.6918, 0.2785, 0.5486)  1 Mn 2.17, 1 Sr 2.42
F (0.7775, 0.8055, 0.5443)  1 Mn 2.15
F (0.3082, 0.7215, 0.4514)  1 Mn 2.17, 1 Sr 2.42
F (0.5873, 0.0317, 0.2656)  1 Mn 2.15
K (0.5113, 0.5428, 0.7497)  6 F 2.68-2.97
F (0.4127, 0.9683, 0.7344)  1 Mn 2.15
F (0.2775, 0.6945, 0.0443)  1 Mn 2.15
F (0.9127, 0.5317, 0.2344)  1 Mn 2.15
F (0.8082, 0.7785, 0.9514)  1 Mn 2.17, 1 Sr 2.42
Sr (0.0000, 0.5000, 0.5000)  6 F 2.41-2.42
K (0.4887, 0.4572, 0.2503)  6 F 2.68-2.97

=====

[11]
KSrMn2F8 | GGA+U | relaxed

Calculated values
- Symmetry: P-3 (147)
- Energy: -5.472 eV/atom

Cell: 5.9705 5.9705 8.0255 Å, 90.00 90.00 120.00°
With the nearest neighbours (Å) after each atom.
Positions (direct):
Mn (0.6667, 0.3333, 0.1884)  4 F 1.91-1.93
F (0.3333, 0.6667, 0.0498)  1 Mn 1.91
Sr (0.0000, 0.0000, 0.5000)  6 F 2.40
F (0.1689, 0.8429, 0.7136)  1 Mn 1.93
Mn (0.3333, 0.6667, 0.8116)  4 F 1.91-1.93
F (0.8429, 0.6741, 0.2864)  1 Mn 1.93
F (0.6741, 0.8311, 0.7136)  1 Mn 1.93
K (0.0000, 0.0000, 0.0000)  6 F 2.85
F (0.3259, 0.1689, 0.2864)  1 Mn 1.93
F (0.6667, 0.3333, 0.9502)  1 Mn 1.91
F (0.8311, 0.1571, 0.2864)  1 Mn 1.93
F (0.1571, 0.3259, 0.7136)  1 Mn 1.93

=====

[12]
KTa2MnF | GGA+U | relaxed

Calculated values
- Symmetry: P4/mmm (123)
- Energy: -6.023 eV/atom

Cell: 4.3395 5.5566 4.3395 Å, 90.00 90.00 90.00°
With the nearest neighbours (Å) after each atom.
Positions (direct):
Ta (0.0000, 0.0000, 0.5000)  2 F 2.17
Ta (0.5000, 0.0000, 0.0000)  2 F 2.17
Mn (0.0000, 0.5000, 0.0000)  2 F 2.78, 4 K 3.07
F (0.0000, 0.0000, 0.0000)  4 Ta 2.17
K (0.5000, 0.5000, 0.5000)  4 Mn 3.07